A plane-wave DFT calculation with GGA-PBE was carried out for a relaxed structure of KRbReN3.

Cell lengths 7.064, 7.064, 5.578 Å; angles 93.47, 93.47, 124.75 degrees
Sites, in units of the cell vectors:
K1 0.086 0.914 0.750
K2 0.914 0.086 0.250
Rb1 0.251 0.749 0.250
Rb2 0.749 0.251 0.750
Re1 0.453 0.547 0.750
Re2 0.547 0.453 0.250
N1 0.285 0.329 0.006
N2 0.311 0.689 0.750
N3 0.329 0.285 0.506
N4 0.671 0.715 0.494
N5 0.689 0.311 0.250
N6 0.715 0.671 0.994

Results
electronic total energy	-6.71	eV/atom
crystal system	monoclinic
total magnetic moment	0.0	μB per formula unit
formation energy from raw total energies	-0.125	eV/atom

---

A plane-wave DFT calculation with GGA-PBE was carried out for a relaxed structure of PSI2Cl.

Cell lengths 5.879, 5.879, 4.594 Å; angles 90.00, 90.00, 90.00 degrees
Sites, in units of the cell vectors:
P1 0.000 0.000 0.000
S1 0.500 0.500 0.000
I1 0.000 0.500 0.500
I2 0.500 0.000 0.500
Cl1 0.500 0.500 0.500

Results
electronic total energy	-1.67	eV/atom
crystal system	tetragonal
total magnetic moment	1.3	μB per formula unit
formation energy from raw total energies	1.228	eV/atom
DOS(E_F)	4.5	states/eV/f.u.

---

A plane-wave DFT calculation with GGA-PBE was carried out for a relaxed structure of AsCI2.

Cell lengths 5.062, 5.062, 5.062 Å; angles 60.00, 60.00, 60.00 degrees
Sites, in units of the cell vectors:
As1 0.000 0.000 0.000
C1 0.500 0.500 0.500
I1 0.250 0.250 0.250
I2 0.750 0.750 0.750

Results
electronic total energy	-2.30	eV/atom
crystal system	cubic
polymorph energy (0 for the lowest one)	0.321	eV per atom
total magnetic moment	1.3	μB per formula unit
formation energy from raw total energies	1.943	eV/atom
DOS(E_F)	2.8	states/eV/f.u.

---

A plane-wave DFT calculation with GGA-PBE was carried out for a relaxed structure of Dy4GaHg2.

Cell lengths 8.902, 8.902, 8.902 Å; angles 33.57, 33.57, 33.57 degrees
Sites, in units of the cell vectors:
Dy1 0.124 0.124 0.124
Dy2 0.375 0.375 0.375
Dy3 0.625 0.625 0.625
Dy4 0.876 0.876 0.876
Ga1 0.500 0.500 0.500
Hg1 0.252 0.252 0.252
Hg2 0.748 0.748 0.748

Results
electronic total energy	-3.48	eV/atom
crystal system	trigonal
energy of formation	-0.3312	eV/atom
total magnetic moment	0.0	μB per formula unit
DOS(E_F)	9.6	states/eV/f.u.

---

A plane-wave DFT calculation with GGA-PBE was carried out for a relaxed structure of CrCuPt6.

Cell lengths 3.917, 3.917, 7.778 Å; angles 90.00, 90.00, 90.00 degrees
Sites, in units of the cell vectors:
Cr1 0.000 0.000 0.000
Cu1 0.000 0.000 0.500
Pt1 0.000 0.500 0.248
Pt2 0.000 0.500 0.752
Pt3 0.500 0.000 0.248
Pt4 0.500 0.000 0.752
Pt5 0.500 0.500 0.000
Pt6 0.500 0.500 0.500

Results
electronic total energy	-6.45	eV/atom
crystal system	tetragonal
energy of formation	-0.2023	eV/atom
total magnetic moment	1.9	μB per formula unit
DOS(E_F)	10.2	states/eV/f.u.

---

A plane-wave DFT calculation with GGA-PBE was carried out for a relaxed structure of CePaSi.

Cell lengths 8.562, 8.562, 8.562 Å; angles 151.16, 151.16, 41.25 degrees
Sites, in units of the cell vectors:
Ce1 0.174 0.174 0.000
Ce2 0.826 0.826 0.000
Pa1 0.000 0.500 0.500
Pa2 0.500 0.000 0.500
Si1 0.368 0.368 0.000
Si2 0.632 0.632 0.000

Results
electronic total energy	-7.41	eV/atom
crystal system	tetragonal
polymorph energy (0 for the lowest one)	0.000	eV per atom
total magnetic moment	0.7	μB per formula unit
formation energy from raw total energies	-0.458	eV/atom
DOS(E_F)	6.4	states/eV/f.u.

---

A plane-wave DFT calculation with GGA-PBE was carried out for a relaxed structure of KBe2Ge.

Cell lengths 8.078, 8.078, 8.078 Å; angles 144.02, 144.02, 51.80 degrees
Sites, in units of the cell vectors:
K1 0.375 0.625 0.750
K2 0.625 0.375 0.250
Be1 0.000 0.000 0.000
Be2 0.000 0.000 0.500
Be3 0.000 0.500 0.000
Be4 0.500 0.000 0.500
Ge1 0.125 0.875 0.250
Ge2 0.875 0.125 0.750

Results
electronic total energy	-2.86	eV/atom
crystal system	tetragonal
energy of formation	0.4311	eV/atom
total magnetic moment	0.0	μB per formula unit
DOS(E_F)	2.3	states/eV/f.u.

---

A plane-wave DFT calculation with GGA-PBE was carried out for a relaxed structure of AgPI2N.

Cell lengths 6.052, 6.052, 3.344 Å; angles 90.00, 90.00, 90.00 degrees
Sites, in units of the cell vectors:
Ag1 0.000 0.000 0.000
P1 0.500 0.500 0.500
I1 0.000 0.500 0.500
I2 0.500 0.000 0.500
N1 0.500 0.500 0.000

Results
electronic total energy	-3.41	eV/atom
crystal system	tetragonal
polymorph energy (0 for the lowest one)	0.000	eV per atom
total magnetic moment	0.0	μB per formula unit
formation energy from raw total energies	0.525	eV/atom
DOS(E_F)	0.7	states/eV/f.u.